# LiPrGaGe2 GGA-PBE relaxed
data_LiPrGaGe2
_chemical_formula_sum 'Li2 Pr2 Ga2 Ge4'
_symmetry_space_group_name_H-M 'I -4 m 2'
_symmetry_Int_Tables_number 119
_symmetry_space_group_name_Hall 'I -4 -2'
_cell_length_a 4.1866
_cell_length_b 4.1866
_cell_length_c 11.5151
_cell_angle_alpha 90.00
_cell_angle_beta 90.00
_cell_angle_gamma 90.00
loop_
_atom_site_label
_atom_site_type_symbol
_atom_site_fract_x
_atom_site_fract_y
_atom_site_fract_z
_atom_site_occupancy
Li1 Li 0.0000 0.0000 0.0000 1
Pr1 Pr 0.0000 0.5000 0.7500 1
Ga1 Ga 0.0000 0.0000 0.5000 1
Ge1 Ge 0.0000 0.5000 0.1383 1
# energy = -0.1590 Ha/atom
# formation enthalpy at 0 K = -2.68 eV/f.u.

---

# Li2GaGe3Pt4 GGA-PBE relaxed
data_Li2GaGe3Pt4
_chemical_formula_sum 'Li2 Ga1 Ge3 Pt4'
_symmetry_space_group_name_H-M 'P -4 m 2'
_symmetry_Int_Tables_number 115
_cell_length_a 4.0003
_cell_length_b 4.0003
_cell_length_c 11.1300
_cell_angle_alpha 90.00
_cell_angle_beta 90.00
_cell_angle_gamma 90.00
loop_
_symmetry_equiv_pos_as_xyz
'x,y,z'
'y,-x,-z'
'-x,-y,z'
'-y,x,-z'
'-x,y,z'
'-y,-x,-z'
'x,-y,z'
'y,x,-z'
loop_
_atom_site_label
_atom_site_type_symbol
_atom_site_fract_x
_atom_site_fract_y
_atom_site_fract_z
_atom_site_occupancy
Li1 Li 0.0000 0.5000 0.2437 1
Ga1 Ga 0.0000 0.0000 0.5000 1
Ge1 Ge 0.0000 0.5000 0.8599 1
Ge2 Ge 0.5000 0.5000 0.5000 1
Pt1 Pt 0.0000 0.0000 0.0000 1
Pt2 Pt 0.0000 0.5000 0.6414 1
Pt3 Pt 0.5000 0.5000 0.0000 1
# energy = -0.1846 Ha/atom
# formation enthalpy at 0 K = -5.36 eV/f.u.

---

# Li2GaGe2Pt5 GGA-PBE relaxed
data_Li2GaGe2Pt5
_chemical_formula_sum 'Li4 Ga2 Ge4 Pt10'
_symmetry_space_group_name_H-M 'P 4/m b m'
_symmetry_Int_Tables_number 127
_symmetry_space_group_name_Hall '-P 4 2ab'
_cell_length_a 9.2230
_cell_length_b 9.2230
_cell_length_c 3.7640
_cell_angle_alpha 90.00
_cell_angle_beta 90.00
_cell_angle_gamma 90.00
loop_
_atom_site_label
_atom_site_type_symbol
_atom_site_fract_x
_atom_site_fract_y
_atom_site_fract_z
_atom_site_occupancy
Li1 Li 0.1683 0.3317 0.0000 1
Ga1 Ga 0.0000 0.0000 0.0000 1
Ge1 Ge 0.1313 0.6313 0.0000 1
Pt1 Pt 0.0000 0.5000 0.5000 1
Pt2 Pt 0.0730 0.8017 0.5000 1
# energy = -0.1901 Ha/atom
# formation enthalpy at 0 K = -5.43 eV/f.u.

---

# Li2PuGaGe2 GGA-PBE relaxed
data_Li2PuGaGe2
_chemical_formula_sum 'Li4 Pu2 Ga2 Ge4'
_symmetry_space_group_name_H-M 'P m c 21'
_symmetry_Int_Tables_number 26
_cell_length_a 4.3577
_cell_length_b 8.6050
_cell_length_c 5.8182
_cell_angle_alpha 90.00
_cell_angle_beta 90.00
_cell_angle_gamma 90.00
loop_
_symmetry_equiv_pos_as_xyz
'x,y,z'
'-x,-y,z+1/2'
'-x,y,z'
'x,-y,z+1/2'
loop_
_atom_site_label
_atom_site_type_symbol
_atom_site_fract_x
_atom_site_fract_y
_atom_site_fract_z
_atom_site_occupancy
Li1 Li 0.0000 0.0002 0.0000 1
Li2 Li 0.5000 0.1476 0.2503 1
Pu1 Pu 0.5000 0.4997 0.9996 1
Ga1 Ga 0.0000 0.3100 0.7487 1
Ge1 Ge 0.0000 0.3108 0.2495 1
Ge2 Ge 0.5000 0.1513 0.7504 1
# energy = -0.1976 Ha/atom
# formation enthalpy at 0 K = -1.83 eV/f.u.

---

# LiGaGe2S6 GGA-PBE relaxed
data_LiGaGe2S6
_chemical_formula_sum 'Li4 Ga4 Ge8 S24'
_symmetry_space_group_name_H-M 'C 1 2/c 1'
_symmetry_Int_Tables_number 15
_cell_length_a 12.9873
_cell_length_b 12.1284
_cell_length_c 6.5909
_cell_angle_alpha 90.00
_cell_angle_beta 115.08
_cell_angle_gamma 90.00
loop_
_symmetry_equiv_pos_as_xyz
'x,y,z'
'-x,-y,-z'
'-x,y,-z+1/2'
'x,-y,z+1/2'
'x+1/2,y+1/2,z'
'-x+1/2,-y+1/2,-z'
'-x+1/2,y+1/2,-z+1/2'
'x+1/2,-y+1/2,z+1/2'
loop_
_atom_site_label
_atom_site_type_symbol
_atom_site_fract_x
_atom_site_fract_y
_atom_site_fract_z
_atom_site_occupancy
Li1 Li 0.0000 0.1909 0.2500 1
Ga1 Ga 0.0000 0.1949 0.7500 1
Ge1 Ge 0.2101 0.4177 0.2057 1
S1 S 0.1009 0.0827 0.6076 1
S2 S 0.1346 0.2483 0.0967 1
S3 S 0.1377 0.4432 0.4627 1
# energy = -0.1613 Ha/atom
# energy relative to the elements, uncorrected = -495 meV per atom

---

# Li2Ga2GeS6 GGA-PBE relaxed
data_Li2Ga2GeS6
_chemical_formula_sum 'Li16 Ga16 Ge8 S48'
_symmetry_space_group_name_H-M 'F d d 2'
_symmetry_Int_Tables_number 43
_symmetry_space_group_name_Hall 'F 2 -2d'
_cell_length_a 12.2995
_cell_length_b 23.0772
_cell_length_c 6.9016
_cell_angle_alpha 90.00
_cell_angle_beta 90.00
_cell_angle_gamma 90.00
loop_
_atom_site_label
_atom_site_type_symbol
_atom_site_fract_x
_atom_site_fract_y
_atom_site_fract_z
_atom_site_occupancy
Li1 Li 0.0808 0.2962 0.0000 1
Ga1 Ga 0.1101 0.3838 0.4391 1
Ge1 Ge 0.0000 0.0000 0.2319 1
S1 S 0.0582 0.0730 0.4174 1
S2 S 0.0684 0.1314 0.8879 1
S3 S 0.1013 0.2263 0.3044 1
# energy = -0.1607 Ha/atom
# energy relative to the elements, uncorrected = -804 meV per atom

---

# LiGa2GeS6 GGA-PBE relaxed
data_LiGa2GeS6
_chemical_formula_sum 'Li4 Ga8 Ge4 S24'
_symmetry_space_group_name_H-M 'C 1 2/c 1'
_symmetry_Int_Tables_number 15
_cell_length_a 12.4556
_cell_length_b 12.4503
_cell_length_c 6.8396
_cell_angle_alpha 90.00
_cell_angle_beta 115.59
_cell_angle_gamma 90.00
loop_
_symmetry_equiv_pos_as_xyz
'x,y,z'
'-x,-y,-z'
'-x,y,-z+1/2'
'x,-y,z+1/2'
'x+1/2,y+1/2,z'
'-x+1/2,-y+1/2,-z'
'-x+1/2,y+1/2,-z+1/2'
'x+1/2,-y+1/2,z+1/2'
loop_
_atom_site_label
_atom_site_type_symbol
_atom_site_fract_x
_atom_site_fract_y
_atom_site_fract_z
_atom_site_occupancy
Li1 Li 0.0000 0.1152 0.2500 1
Ga1 Ga 0.1821 0.4161 0.1384 1
Ge1 Ge 0.0000 0.1755 0.7500 1
S1 S 0.1146 0.4427 0.4063 1
S2 S 0.1155 0.0658 0.6563 1
S3 S 0.1159 0.2414 0.0771 1
# energy = -0.1556 Ha/atom
# energy relative to the elements, uncorrected = -498 meV per atom

---

# LiScGaGe GGA-PBE relaxed
data_LiScGaGe
_chemical_formula_sum 'Li1 Sc1 Ga1 Ge1'
_symmetry_space_group_name_H-M 'P m m m'
_symmetry_Int_Tables_number 47
_cell_length_a 3.9777
_cell_length_b 4.0541
_cell_length_c 4.1999
_cell_angle_alpha 90.00
_cell_angle_beta 90.00
_cell_angle_gamma 90.00
loop_
_symmetry_equiv_pos_as_xyz
'x,y,z'
'-x,-y,-z'
'-x,-y,z'
'x,y,-z'
'x,-y,-z'
'-x,y,z'
'-x,y,-z'
'x,-y,z'
loop_
_atom_site_label
_atom_site_type_symbol
_atom_site_fract_x
_atom_site_fract_y
_atom_site_fract_z
_atom_site_occupancy
Li1 Li 0.0000 0.0000 0.0000 1
Sc1 Sc 0.0000 0.5000 0.5000 1
Ga1 Ga 0.5000 0.5000 0.0000 1
Ge1 Ge 0.5000 0.0000 0.5000 1
# energy = -0.1658 Ha/atom
# formation enthalpy at 0 K = -2.16 eV/f.u.

---

# LiGa2GeSe6 GGA-PBE relaxed
data_LiGa2GeSe6
_chemical_formula_sum 'Li4 Ga8 Ge4 Se24'
_symmetry_space_group_name_H-M 'C 1 2/c 1'
_symmetry_Int_Tables_number 15
_cell_length_a 13.0889
_cell_length_b 13.1717
_cell_length_c 6.9755
_cell_angle_alpha 90.00
_cell_angle_beta 114.82
_cell_angle_gamma 90.00
loop_
_symmetry_equiv_pos_as_xyz
'x,y,z'
'-x,-y,-z'
'-x,y,-z+1/2'
'x,-y,z+1/2'
'x+1/2,y+1/2,z'
'-x+1/2,-y+1/2,-z'
'-x+1/2,y+1/2,-z+1/2'
'x+1/2,-y+1/2,z+1/2'
loop_
_atom_site_label
_atom_site_type_symbol
_atom_site_fract_x
_atom_site_fract_y
_atom_site_fract_z
_atom_site_occupancy
Li1 Li 0.0000 0.1642 0.2500 1
Ga1 Ga 0.1845 0.4157 0.1687 1
Ge1 Ge 0.0000 0.1741 0.7500 1
Se1 Se 0.1089 0.4398 0.4379 1
Se2 Se 0.1121 0.0700 0.6224 1
Se3 Se 0.1318 0.2370 0.0875 1
# energy = -0.1391 Ha/atom
# energy relative to the elements, uncorrected = -436 meV per atom

---

# LiSmGaGe GGA-PBE relaxed
data_LiSmGaGe
_chemical_formula_sum 'Li4 Sm4 Ga4 Ge4'
_symmetry_space_group_name_H-M 'F -4 3 m'
_symmetry_Int_Tables_number 216
_symmetry_space_group_name_Hall 'F -4 2 3'
_cell_length_a 6.9347
_cell_length_b 6.9347
_cell_length_c 6.9347
_cell_angle_alpha 90.00
_cell_angle_beta 90.00
_cell_angle_gamma 90.00
loop_
_atom_site_label
_atom_site_type_symbol
_atom_site_fract_x
_atom_site_fract_y
_atom_site_fract_z
_atom_site_occupancy
Li1 Li 0.0000 0.0000 0.0000 1
Sm1 Sm 0.0000 0.0000 0.5000 1
Ga1 Ga 0.2500 0.2500 0.7500 1
Ge1 Ge 0.2500 0.2500 0.2500 1
# energy = -0.1470 Ha/atom
# formation enthalpy at 0 K = -1.72 eV/f.u.

---

# Li2SmGa2Ge2 GGA-PBE relaxed
data_Li2SmGa2Ge2
_chemical_formula_sum 'Li6 Sm3 Ga6 Ge6'
_symmetry_space_group_name_H-M 'R -3 m'
_symmetry_Int_Tables_number 166
_symmetry_space_group_name_Hall '-R 3 2"'
_cell_length_a 4.3819
_cell_length_b 4.3819
_cell_length_c 23.4414
_cell_angle_alpha 90.00
_cell_angle_beta 90.00
_cell_angle_gamma 120.00
loop_
_atom_site_label
_atom_site_type_symbol
_atom_site_fract_x
_atom_site_fract_y
_atom_site_fract_z
_atom_site_occupancy
Li1 Li 0.0000 0.0000 0.1430 1
Sm1 Sm 0.0000 0.0000 0.0000 1
Ga1 Ga 0.0000 0.0000 0.4409 1
Ge1 Ge 0.0000 0.0000 0.2577 1
# energy = -0.1410 Ha/atom
# formation enthalpy at 0 K = -3.02 eV/f.u.